[1]
# NaCoCO4

A relaxed structure of NaCoCO4 (PBE with a Hubbard U, Alexandria via LeMat-Bulk).

Summary:
E_tot	-6.2277	eV per atom

```
NaCoCO4
1.0
5.3230 0.0960 0.0000
-2.0503 4.9133 0.0000
0.0000 0.0000 5.7063
C O Na Co
2 8 2 2
Direct
0.1346 0.8654 0.2500 C
0.8654 0.1346 0.7500 C
0.1518 0.2218 0.7500 O
0.2218 0.1518 0.2500 O
0.2274 0.7726 0.4493 O
0.7782 0.8482 0.7500 O
0.2274 0.7726 0.0507 O
0.7726 0.2274 0.9493 O
0.7726 0.2274 0.5507 O
0.8482 0.7782 0.2500 O
0.5000 0.5000 0.5000 Na
0.5000 0.5000 0.0000 Na
0.1418 0.8582 0.7500 Co
0.8582 0.1418 0.2500 Co
```


[2]
# Na2CoCO4

A relaxed structure of Na2CoCO4 (PBE with a Hubbard U, Alexandria via LeMat-Bulk).

Summary:
E_tot	-5.7746	eV per atom

```
Na2CoCO4
1.0
-1.8151 -3.1845 -3.1340
0.5780 -5.3102 1.3505
-9.1243 -1.3413 2.9367
Co O Na C
2 8 4 2
Direct
0.0000 0.0000 0.0000 Co
0.7500 0.5000 0.5000 Co
0.9497 0.6670 0.5831 O
0.4672 0.3330 0.5831 O
0.3833 0.6670 0.4169 O
0.2828 0.1670 0.9169 O
0.5502 0.1670 0.0831 O
0.1998 0.3330 0.4169 O
0.8003 0.8330 0.9169 O
0.3667 0.8330 0.0831 O
0.1874 0.0000 0.6251 Na
0.5626 0.5000 0.8749 Na
0.9374 0.5000 0.1251 Na
0.8126 0.0000 0.3749 Na
0.2500 0.5000 0.5000 C
0.5000 0.0000 0.0000 C
```


[3]
# Na5CoCO5

A relaxed structure of Na5CoCO5 (PBE with a Hubbard U, Alexandria via LeMat-Bulk).

Summary:
E_tot	-5.2190	eV per atom

```
Na5CoCO5
1.0
-2.0381 -3.2972 -2.2848
-0.0466 -2.7853 4.0609
-7.4769 3.1730 2.0906
O Na Co C
5 5 1 1
Direct
0.5000 0.5592 0.3642 O
0.5000 0.5592 0.6358 O
0.0000 0.0054 0.2111 O
0.0000 0.0054 0.7889 O
0.5000 0.1652 0.5000 O
0.5000 0.9939 0.2424 Na
0.0000 0.5028 0.2180 Na
0.0000 0.5028 0.7820 Na
0.0000 0.9722 0.5000 Na
0.5000 0.9939 0.7576 Na
0.0000 0.0050 0.0000 Co
0.5000 0.4300 0.5000 C
```